Record 1
First-principles (GGA-PBE) data for a relaxed structure of Re2AsIr, as listed in Alexandria via LeMat-Bulk.

Summary:
- Size of the total moment: 0.00 Bohr magnetons per cell
- DFT formation energy: 0.98 eV/f.u.

abc: 2.953 4.443 9.098
angles: 90.00 90.00 90.00
Space group Immm (No. 71)
Asymmetric unit:
1 Re 0.000 0.000 0.218 x4
2 As 0.000 0.500 0.500 x2
3 Ir 0.000 0.500 0.000 x2

---

Record 2
First-principles (GGA-PBE) data for a relaxed structure of ReAs2Ir, as listed in Alexandria via LeMat-Bulk.

Summary:
- Size of the total moment: 0.00 Bohr magnetons per cell
- ΔE to the lowest computed polymorph: 48.27 kJ per mole of atoms
- DFT formation energy: 2.32 eV/f.u.

abc: 2.944 5.158 8.444
angles: 90.00 90.00 90.00
Space group Immm (No. 71)
Asymmetric unit:
1 Re 0.000 0.000 0.000 x2
2 As 0.000 0.500 0.251 x4
3 Ir 0.000 0.000 0.500 x2

---

Record 3
First-principles (GGA-PBE) data for a relaxed structure of Re2AsIr, as listed in Alexandria via LeMat-Bulk.

Summary:
- Size of the total moment: 0.00 Bohr magnetons per cell
- DFT formation energy: 0.87 eV/f.u.

abc: 2.943 2.943 6.761
angles: 90.00 90.00 90.00
Space group P4/mmm (No. 123)
Asymmetric unit:
1 Re 0.000 0.000 0.228 x2
2 As 0.500 0.500 0.000 x1
3 Ir 0.500 0.500 0.500 x1

---

Record 4
First-principles (GGA-PBE) data for a relaxed structure of Re2AsIr, as listed in Alexandria via LeMat-Bulk.

Summary:
- Size of the total moment: 0.00 Bohr magnetons per cell
- DFT formation energy: 0.56 eV/f.u.

abc: 2.894 2.894 7.114
angles: 90.00 90.00 90.00
Space group P4mm (No. 99)
Asymmetric unit:
1 Re 0.000 0.000 0.000 x1
2 Re 0.500 0.500 0.247 x1
3 As 0.000 0.000 0.485 x1
4 Ir 0.500 0.500 0.732 x1

---

Record 5
First-principles (GGA-PBE) data for a relaxed structure of Re2As2Ir, as listed in Alexandria via LeMat-Bulk.

Summary:
- Size of the total moment: 0.00 Bohr magnetons per cell
- ΔE to the lowest computed polymorph: 10.03 kJ per mole of atoms
- DFT formation energy: 3.22 eV/f.u.

abc: 4.295 4.295 9.075
angles: 90.00 90.00 90.00
Space group I4/mmm (No. 139)
Asymmetric unit:
1 Re 0.000 0.500 0.250 x4
2 As 0.000 0.000 0.125 x4
3 Ir 0.000 0.000 0.500 x2

---

Record 6
First-principles (GGA-PBE) data for a relaxed structure of ReAsIr, as listed in Alexandria via LeMat-Bulk.

Summary:
- Size of the total moment: 0.00 Bohr magnetons per cell
- ΔE to the lowest computed polymorph: 17.63 kJ per mole of atoms
- DFT formation energy: 0.95 eV/f.u.

abc: 5.966 5.966 5.966
angles: 90.00 90.00 90.00
Space group F-43m (No. 216)
Asymmetric unit:
1 Re 0.000 0.000 0.000 x4
2 As 0.250 0.250 0.250 x4
3 Ir 0.250 0.250 0.750 x4